Entry 1:
# DyHfCdIn

DyHfCdIn after structural relaxation (PBE, the Alexandria database).

Calculated values
calculated volume = 23.57 Å³/atom
formation energy = -156 meV/atom

extended XYZ file:
```
4
Lattice="0.000 3.612 3.612 3.612 0.000 3.612 3.612 3.612 0.000" Properties=species:S:1:pos:R:3 pbc="T T T"
Dy 0.000 0.000 0.000
Hf 3.612 3.612 3.612
Cd 1.806 1.806 1.806
In 5.418 5.418 5.418
```

Entry 2:
# CdCoTe2

CdCoTe2 after structural relaxation (PBE, the Alexandria database).

Calculated values
calculated volume = 25.27 Å³/atom
formation energy (no corrections) = -0.03 eV per atom

extended XYZ file:
```
4
Lattice="4.508 0.000 0.000 0.000 4.042 0.000 -2.202 0.000 5.547" Properties=species:S:1:pos:R:3 pbc="T T T"
Cd 0.000 0.000 0.000
Co 0.034 2.021 2.097
Te 0.035 0.000 3.524
Te 2.288 2.021 1.156
```

Entry 3:
# Sr2LiTlCl6

Sr2LiTlCl6 after structural relaxation (PBE, the Alexandria database).

Calculated values
calculated volume = 30.93 Å³/atom
formation energy (no corrections) = -2.01 eV per atom

extended XYZ file:
```
10
Lattice="3.678 2.123 6.603 -3.678 2.123 6.603 0.000 -4.246 6.603" Properties=species:S:1:pos:R:3 pbc="T T T"
Sr 0.000 0.000 0.000
Sr 0.000 0.000 9.650
Li 0.000 0.000 15.954
Tl 0.000 0.000 5.601
Cl -1.298 -2.036 7.973
Cl -2.456 -0.477 11.078
Cl -1.114 2.142 7.973
Cl 1.641 -1.888 11.078
Cl 2.412 -0.106 7.973
Cl 0.815 2.366 11.078
```